First-principles (PBE-GGA) data for a relaxed NaCuPd2N crystal, as listed in Alexandria.

Cell: 4.274 4.274 3.863 Å, 90.00 90.00 90.00°
Space group P4/mmm (No. 123)
Unique sites:
Na  0.000  0.000  0.000
Cu  0.500  0.500  0.000
Pd  0.000  0.500  0.500
N  0.500  0.500  0.500

Formation energy (no corrections) ... 0.10 eV per atom
Fermi-level density of states ... 2.5 states/eV/f.u.
Total DFT energy (no corrections) ... -23.6 eV per formula unit

First-principles (PBE-GGA) data for a relaxed YHoCuPb crystal, as listed in Alexandria.

Cell: 7.346 7.346 7.346 Å, 90.00 90.00 90.00°
Space group F-43m (No. 216)
Unique sites:
Y  0.000  0.000  0.000
Ho  0.000  0.000  0.500
Cu  0.250  0.250  0.750
Pb  0.250  0.250  0.250

Fermi-level density of states ... 4.0 states/eV/f.u.
Total DFT energy (no corrections) ... -20.1 eV per formula unit

First-principles (PBE-GGA) data for a relaxed Y2MgVH crystal, as listed in Alexandria.

Cell: 5.183 5.183 3.770 Å, 90.00 90.00 90.00°
Space group P4/mmm (No. 123)
Unique sites:
Y  0.000  0.500  0.000
Mg  0.000  0.000  0.500
V  0.500  0.500  0.500
H  0.500  0.500  0.000

Fermi-level density of states ... 4.3 states/eV/f.u.
Total DFT energy (no corrections) ... -27.1 eV per formula unit

First-principles (PBE-GGA) data for a relaxed MnFeSiGe crystal, as listed in Alexandria.

Cell: 8.615 2.804 4.139 Å, 90.00 105.57 90.00°
Space group Cm (No. 8)
Unique sites:
Mn  0.000  0.000  0.000
Fe  0.235  0.000  0.616
Si  0.001  0.500  0.504
Ge  0.244  0.500  0.126

Formation energy (no corrections) ... -0.14 eV per atom
Fermi-level density of states ... 3.2 states/eV/f.u.
Total DFT energy (no corrections) ... -28.2 eV per formula unit

First-principles (PBE-GGA) data for a relaxed Tb2Si3Ni4Ir crystal, as listed in Alexandria.

Cell: 3.924 3.924 9.959 Å, 90.00 90.00 90.00°
Space group P-4m2 (No. 115)
Unique sites:
Tb  0.000  0.500  0.248
Si  0.000  0.500  0.877
Si  0.500  0.500  0.500
Ni  0.000  0.000  0.000
Ni  0.000  0.500  0.647
Ni  0.500  0.500  0.000
Ir  0.000  0.000  0.500

Formation energy (no corrections) ... -0.71 eV per atom
Fermi-level density of states ... 9.0 states/eV/f.u.
Total DFT energy (no corrections) ... -64.6 eV per formula unit

First-principles (PBE-GGA) data for a relaxed GaGeSb2Os crystal, as listed in Alexandria.

Cell: 5.170 5.170 4.618 Å, 90.00 90.00 90.00°
Space group P4/mmm (No. 123)
Unique sites:
Ga  0.000  0.000  0.000
Ge  0.000  0.000  0.500
Sb  0.000  0.500  0.000
Os  0.500  0.500  0.500

Formation energy (no corrections) ... 1.49 eV per atom
Fermi-level density of states ... 6.4 states/eV/f.u.
Total DFT energy (no corrections) ... -19.7 eV per formula unit

What did the second record say?
First-principles (PBE-GGA) data for a relaxed YHoCuPb crystal, as listed in Alexandria.

Cell: 7.346 7.346 7.346 Å, 90.00 90.00 90.00°
Space group F-43m (No. 216)
Unique sites:
Y  0.000  0.000  0.000
Ho  0.000  0.000  0.500
Cu  0.250  0.250  0.750
Pb  0.250  0.250  0.250

Fermi-level density of states ... 4.0 states/eV/f.u.
Total DFT energy (no corrections) ... -20.1 eV per formula unit

Question: Look up the Fermi-level density of states of the first one.
Answer: 2.5 states/eV/f.u.

Question: Among the records above, which one has the lowest Fermi-level density of states?
Answer: NaCuPd2N